[1]
# MnInCl

A relaxed MnInCl crystal (GGA-PBE, the Alexandria database).

Calculated values
E   -13.4 eV for the cell shown

abc: 4.5622 4.5622 3.5888
angles: 90.00 90.00 120.00
Closest atoms and distances in Å follow each position.
Fractional coordinates of all 3 atoms:
Mn: 0.0000 0.0000 0.0000  3 Cl 2.63
In: 0.3333 0.6667 0.5000  6 Mn 3.19, 6 Cl 3.19
Cl: 0.6667 0.3333 0.0000  3 Mn 2.63

=====

[2]
# TaP3

A relaxed TaP3 crystal (GGA-PBE, the Alexandria database).

Calculated values
Calculated formation energy   -0.02 eV per atom

abc: 3.4506 5.1746 3.6744
angles: 90.00 90.00 90.00
Closest atoms and distances in Å follow each position.
Fractional coordinates of all 4 atoms:
Ta: 0.0000 0.0000 0.0000  6 P 2.50-2.59
P: 0.0000 0.5000 0.9464  2 P 2.25
P: 0.5000 0.0000 0.5087  4 Ta 2.50-2.54, 2 P 2.66
P: 0.5000 0.5000 0.3412  2 P 2.25

=====

[3]
# Ge2SeF3

A relaxed Ge2SeF3 crystal (GGA-PBE, the Alexandria database).

Calculated values
E   -55.3 eV for the cell shown

abc: 7.3316 7.3316 9.7263
angles: 114.82 114.82 32.65
Closest atoms and distances in Å follow each position.
Fractional coordinates of all 12 atoms:
Ge: 0.0045 0.0045 0.2896  1 F 1.85
Ge: 0.3042 0.3042 0.9007  1 F 1.84
Ge: 0.6958 0.6958 0.0993  1 F 1.84
Ge: 0.9955 0.9955 0.7104  1 F 1.85
Se: 0.4174 0.4174 0.5074  1 Se 2.39
Se: 0.5826 0.5826 0.4926  1 Se 2.39
F: 0.1172 0.1172 0.2403  1 Ge 1.85
F: 0.2184 0.2184 0.0353  3 Ge 2.13-2.21
F: 0.4284 0.4284 0.0779  1 Ge 1.84
F: 0.5716 0.5716 0.9221  1 Ge 1.84
F: 0.7816 0.7816 0.9647  3 Ge 2.13-2.21
F: 0.8828 0.8828 0.7597  1 Ge 1.85

=====

[4]
# CrCo2Ni6

A relaxed CrCo2Ni6 crystal (GGA-PBE, the Alexandria database).

Calculated values
Calculated formation energy   0.00 eV per atom
E above lowest polymorph   0.0 meV per atom

abc: 7.4846 5.5966 5.5554
angles: 84.31 48.08 47.61
Closest atoms and distances in Å follow each position.
Fractional coordinates of all 9 atoms:
Cr: 0.0000 0.0000 0.0000  8 Ni 2.48, 4 Co 2.48
Co: 0.3334 0.6666 0.3334  8 Ni 2.48, 2 Cr 2.48, 2 Co 2.49
Co: 0.6666 0.3334 0.6666  8 Ni 2.48, 2 Cr 2.48, 2 Co 2.49
Ni: 0.0020 0.6687 0.3313  3 Co 2.48, 1 Cr 2.48, 8 Ni 2.48-2.53
Ni: 0.3313 0.9980 0.0020  3 Co 2.48, 1 Cr 2.48, 8 Ni 2.48-2.53
Ni: 0.3356 0.3356 0.6644  2 Cr 2.48, 2 Co 2.48, 8 Ni 2.48-2.53
Ni: 0.6644 0.6644 0.3356  2 Cr 2.48, 2 Co 2.48, 8 Ni 2.48-2.53
Ni: 0.6687 0.0020 0.9980  3 Co 2.48, 1 Cr 2.48, 8 Ni 2.48-2.53
Ni: 0.9980 0.3313 0.6687  3 Co 2.48, 1 Cr 2.48, 8 Ni 2.48-2.53

=====

[5]
# Ce2Ho2Th5

A relaxed Ce2Ho2Th5 crystal (GGA-PBE, the Alexandria database).

Calculated values
Calculated formation energy   0.04 eV per atom

abc: 6.1145 6.1145 10.6062
angles: 107.17 107.17 47.94
Closest atoms and distances in Å follow each position.
Fractional coordinates of all 9 atoms:
Ce: 0.1636 0.1636 0.0527  3 Ce 3.46-3.54, 8 Th 3.46-3.53, 1 Ho 3.53
Ce: 0.8364 0.8364 0.9473  3 Ce 3.46-3.54, 8 Th 3.46-3.53, 1 Ho 3.53
Ho: 0.1640 0.1640 0.3858  9 Th 3.51-3.62, 1 Ce 3.53, 2 Ho 3.57
Ho: 0.8360 0.8360 0.6142  9 Th 3.51-3.62, 1 Ce 3.53, 2 Ho 3.57
Th: 0.1692 0.1692 0.7284  3 Ce 3.46-3.50, 5 Th 3.51-3.56, 4 Ho 3.52-3.62
Th: 0.4971 0.4971 0.1641  5 Ce 3.47-3.53, 5 Th 3.50-3.55, 2 Ho 3.51
Th: 0.5000 0.5000 0.5000  6 Ho 3.53-3.55, 6 Th 3.55-3.56
Th: 0.5029 0.5029 0.8359  5 Ce 3.47-3.53, 5 Th 3.50-3.55, 2 Ho 3.51
Th: 0.8308 0.8308 0.2716  3 Ce 3.46-3.50, 5 Th 3.51-3.56, 4 Ho 3.52-3.62

=====

[6]
# TbSiPt6

A relaxed TbSiPt6 crystal (GGA-PBE, the Alexandria database).

Calculated values
E above lowest polymorph   0.0 meV per atom

abc: 4.0469 4.0469 7.9576
angles: 90.00 90.00 90.00
Closest atoms and distances in Å follow each position.
Fractional coordinates of all 8 atoms:
Tb: 0.0000 0.0000 0.0000  12 Pt 2.86-2.95
Si: 0.0000 0.0000 0.5000  12 Pt 2.73-2.86
Pt: 0.0000 0.5000 0.2691  8 Pt 2.73-2.95, 2 Si 2.73, 2 Tb 2.95
Pt: 0.0000 0.5000 0.7309  8 Pt 2.73-2.95, 2 Si 2.73, 2 Tb 2.95
Pt: 0.5000 0.0000 0.2691  8 Pt 2.73-2.95, 2 Si 2.73, 2 Tb 2.95
Pt: 0.5000 0.0000 0.7309  8 Pt 2.73-2.95, 2 Si 2.73, 2 Tb 2.95
Pt: 0.5000 0.5000 0.0000  4 Tb 2.86, 8 Pt 2.95
Pt: 0.5000 0.5000 0.5000  8 Pt 2.73, 4 Si 2.86

=====

[7]
# CaPm8Ho3

A relaxed CaPm8Ho3 crystal (GGA-PBE, the Alexandria database).

Calculated values
Calculated formation energy   0.03 eV per atom

abc: 6.3296 7.3284 9.0465
angles: 78.21 83.27 89.99
Closest atoms and distances in Å follow each position.
Fractional coordinates of all 12 atoms:
Ca: 0.0000 0.0000 0.0000  10 Pm 3.63-3.69, 2 Ho 3.67-3.69
Pm: 0.1109 0.1694 0.3399  9 Pm 3.54-3.73, 2 Ho 3.64-3.66, 1 Ca 3.68
Pm: 0.1130 0.6630 0.3329  7 Pm 3.56-3.72, 4 Ho 3.60-3.65, 1 Ca 3.63
Pm: 0.2199 0.8308 0.6637  8 Pm 3.56-3.71, 3 Ho 3.63-3.66, 1 Ca 3.64
Pm: 0.2237 0.3379 0.6626  8 Pm 3.54-3.72, 3 Ho 3.61-3.65, 1 Ca 3.65
Pm: 0.4988 0.2586 0.9973  4 Ho 3.56-3.77, 6 Pm 3.61-3.67, 2 Ca 3.68-3.69
Pm: 0.6025 0.9138 0.3350  7 Pm 3.56-3.73, 4 Ho 3.60-3.70, 1 Ca 3.65
Pm: 0.7145 0.0846 0.6632  7 Pm 3.57-3.72, 4 Ho 3.61-3.67, 1 Ca 3.67
Pm: 0.9941 0.5012 0.0003  4 Ho 3.56-3.65, 6 Pm 3.61-3.66, 2 Ca 3.65-3.67
Ho: 0.4988 0.7436 0.9993  2 Ho 3.56-3.60, 8 Pm 3.56-3.77, 2 Ca 3.67-3.69
Ho: 0.6115 0.4201 0.3292  2 Ho 3.56-3.62, 10 Pm 3.56-3.70
Ho: 0.7218 0.5832 0.6650  10 Pm 3.57-3.67, 2 Ho 3.60-3.62

=====

[8]
# Li2Pd2RhO6

A relaxed Li2Pd2RhO6 crystal (GGA-PBE, the Alexandria database).

Calculated values
E   -60.9 eV for the cell shown

abc: 5.3420 5.3420 5.2182
angles: 101.41 101.41 117.51
Closest atoms and distances in Å follow each position.
Fractional coordinates of all 11 atoms:
Li: 0.1685 0.8315 0.0000  6 O 2.19-2.29
Li: 0.8315 0.1685 0.0000  6 O 2.19-2.29
Pd: 0.3369 0.6631 0.5000  6 O 2.04-2.19
Pd: 0.6631 0.3369 0.5000  6 O 2.04-2.19
Rh: 0.0000 0.0000 0.5000  6 O 2.05-2.07
O: 0.0620 0.4035 0.7197  2 Pd 2.04-2.19, 1 Rh 2.07, 1 Li 2.20
O: 0.2380 0.2380 0.2803  1 Rh 2.05, 2 Pd 2.09, 2 Li 2.19
O: 0.4035 0.0620 0.7197  2 Pd 2.04-2.19, 1 Rh 2.07, 1 Li 2.20
O: 0.5965 0.9380 0.2803  2 Pd 2.04-2.19, 1 Rh 2.07, 1 Li 2.20
O: 0.7620 0.7620 0.7197  1 Rh 2.05, 2 Pd 2.09, 2 Li 2.19
O: 0.9380 0.5965 0.2803  2 Pd 2.04-2.19, 1 Rh 2.07, 1 Li 2.20

=====

[9]
# PaBeReC

A relaxed PaBeReC crystal (GGA-PBE, the Alexandria database).

Calculated values
Calculated formation energy   -0.28 eV per atom

abc: 3.6398 3.6398 8.6641
angles: 90.00 90.00 90.00
Closest atoms and distances in Å follow each position.
Fractional coordinates of all 8 atoms:
Pa: 0.2500 0.2500 0.1553  5 C 2.34-2.60
Pa: 0.7500 0.7500 0.8447  5 C 2.34-2.60
Be: 0.2500 0.2500 0.6866  1 C 1.72
Be: 0.7500 0.7500 0.3134  1 C 1.72
Re: 0.2500 0.7500 0.5000  4 Be 2.43, 4 Re 2.57
Re: 0.7500 0.2500 0.5000  4 Be 2.43, 4 Re 2.57
C: 0.2500 0.2500 0.8850  1 Be 1.72
C: 0.7500 0.7500 0.1150  1 Be 1.72

=====

[10]
# MnSnIrPt

A relaxed MnSnIrPt crystal (GGA-PBE, the Alexandria database).

Calculated values
Calculated formation energy   -0.17 eV per atom

abc: 4.9621 4.9621 4.4828
angles: 105.99 105.99 38.80
Closest atoms and distances in Å follow each position.
Fractional coordinates of all 4 atoms:
Mn: 0.0000 0.0000 0.0000  3 Pt 2.68-2.69, 4 Ir 2.76-2.81, 2 Sn 2.96
Sn: 0.7553 0.7553 0.3593  3 Ir 2.68-2.72, 4 Pt 2.74-2.82, 2 Mn 2.96
Ir: 0.4970 0.4970 0.5050  3 Sn 2.68-2.72, 4 Mn 2.76-2.81
Pt: 0.2633 0.2633 0.8756  3 Mn 2.68-2.69, 4 Sn 2.74-2.82

=====

[11]
# Th6CoOs2Cl3

A relaxed Th6CoOs2Cl3 crystal (GGA-PBE, the Alexandria database).

Calculated values
E   -90.0 eV for the cell shown

abc: 9.7320 9.7320 8.9639
angles: 109.80 109.80 25.17
Closest atoms and distances in Å follow each position.
Fractional coordinates of all 12 atoms:
Th: 0.0108 0.0108 0.2086  1 Os 2.75, 2 Co 2.79
Th: 0.3219 0.3219 0.4485  3 Os 2.79-2.85
Th: 0.3505 0.3505 0.8886  1 Co 2.66, 2 Os 2.84
Th: 0.6495 0.6495 0.1114  1 Co 2.66, 2 Os 2.84
Th: 0.6781 0.6781 0.5515  3 Os 2.79-2.85
Th: 0.9892 0.9892 0.7914  1 Os 2.75, 2 Co 2.79
Co: 0.5000 0.5000 0.0000  6 Th 2.66-2.79
Os: 0.1652 0.1652 0.3310  6 Th 2.75-2.85
Os: 0.8348 0.8348 0.6690  6 Th 2.75-2.85
Cl: 0.1633 0.1633 0.8327  6 Th 3.20-3.42
Cl: 0.5000 0.5000 0.5000  6 Th 3.25-3.43
Cl: 0.8367 0.8367 0.1673  6 Th 3.20-3.42

=====

[12]
# Y4Ni13B4

A relaxed Y4Ni13B4 crystal (GGA-PBE, the Alexandria database).

Calculated values
Calculated formation energy   -0.38 eV per atom

abc: 8.5453 8.5453 3.8983
angles: 90.00 90.00 90.91
Closest atoms and distances in Å follow each position.
Fractional coordinates of all 21 atoms:
Y: 0.1905 0.8095 0.0000  8 Ni 2.74-3.03
Y: 0.3489 0.3489 0.0000  5 Ni 2.72-3.02, 4 B 2.78
Y: 0.6511 0.6511 0.0000  5 Ni 2.72-3.02, 4 B 2.78
Y: 0.8095 0.1905 0.0000  8 Ni 2.74-3.03
Ni: 0.0000 0.0000 0.5000  8 Ni 2.44-2.52
Ni: 0.0000 0.5000 0.0000  2 B 1.95
Ni: 0.0757 0.2862 0.5000  1 B 1.95
Ni: 0.1223 0.1223 0.0000  6 Ni 2.44, 1 Y 2.72
Ni: 0.2096 0.5786 0.5000  2 B 1.90-1.93
Ni: 0.2862 0.0757 0.5000  1 B 1.95
Ni: 0.4214 0.7904 0.5000  2 B 1.90-1.93
Ni: 0.5000 0.0000 0.0000  2 B 1.95
Ni: 0.5786 0.2096 0.5000  2 B 1.90-1.93
Ni: 0.7138 0.9243 0.5000  1 B 1.95
Ni: 0.7904 0.4214 0.5000  2 B 1.90-1.93
Ni: 0.8777 0.8777 0.0000  6 Ni 2.44, 1 Y 2.72
Ni: 0.9243 0.7138 0.5000  1 B 1.95
B: 0.0000 0.5000 0.5000  6 Ni 1.90-1.95
B: 0.4353 0.5647 0.5000  1 B 1.58
B: 0.5000 0.0000 0.5000  6 Ni 1.90-1.95
B: 0.5647 0.4353 0.5000  1 B 1.58